(1)
# Ba2Ga2Ir, optimized geometry, DFT PBE
# * density of states at the Fermi level: 7.19 states/eV per cell
# * excess energy over the best structure of this formula in the dataset: 0.2515 eV/atom
data_Ba2Ga2Ir
_chemical_formula_sum 'Ba4 Ga4 Ir2'
_cell_length_a 6.9274
_cell_length_b 6.9274
_cell_length_c 5.4731
_cell_angle_alpha 90.00
_cell_angle_beta 90.00
_cell_angle_gamma 90.00
_symmetry_space_group_name_H-M 'P 4/m b m'
_symmetry_Int_Tables_number 127
_symmetry_space_group_name_Hall '-P 4 2ab'
loop_
_atom_site_label
_atom_site_type_symbol
_atom_site_fract_x
_atom_site_fract_y
_atom_site_fract_z
Ba1 Ba 0.1826 0.3174 0.0000
Ga1 Ga 0.1476 0.6476 0.5000
Ir1 Ir 0.0000 0.0000 0.5000

(2)
# BaGa3Ir, optimized geometry, DFT PBE
# * density of states at the Fermi level: 6.96 states/eV per cell
# * calculated total energy: -89.61 eV per cell
data_BaGa3Ir
_chemical_formula_sum 'Ba4 Ga12 Ir4'
_cell_length_a 6.3607
_cell_length_b 9.8007
_cell_length_c 7.3589
_cell_angle_alpha 90.00
_cell_angle_beta 90.00
_cell_angle_gamma 90.00
_symmetry_space_group_name_H-M 'I m m a'
_symmetry_Int_Tables_number 74
_symmetry_space_group_name_Hall '-I 2b 2'
loop_
_atom_site_label
_atom_site_type_symbol
_atom_site_fract_x
_atom_site_fract_y
_atom_site_fract_z
Ba1 Ba 0.0000 0.2500 0.0905
Ga1 Ga 0.0000 0.2500 0.5777
Ga2 Ga 0.2500 0.0494 0.7500
Ir1 Ir 0.0000 0.0000 0.5000

(3)
# BaGa2Ir2, optimized geometry, DFT PBE
# * density of states at the Fermi level: 3.41 states/eV per cell
# * calculated total energy: -53.16 eV per cell
data_BaGa2Ir2
_chemical_formula_sum 'Ba2 Ga4 Ir4'
_cell_length_a 7.9248
_cell_length_b 7.9248
_cell_length_c 2.9882
_cell_angle_alpha 90.00
_cell_angle_beta 90.00
_cell_angle_gamma 90.00
_symmetry_space_group_name_H-M 'P 4/m b m'
_symmetry_Int_Tables_number 127
_symmetry_space_group_name_Hall '-P 4 2ab'
loop_
_atom_site_label
_atom_site_type_symbol
_atom_site_fract_x
_atom_site_fract_y
_atom_site_fract_z
Ba1 Ba 0.0000 0.0000 0.0000
Ga1 Ga 0.1394 0.3606 0.5000
Ir1 Ir 0.1432 0.6432 0.0000

(4)
# BaGa2Ir2, optimized geometry, DFT PBE
# * density of states at the Fermi level: 2.63 states/eV per cell
# * calculated total energy: -56.19 eV per cell
data_BaGa2Ir2
_chemical_formula_sum 'Ba2 Ga4 Ir4'
_cell_length_a 4.4278
_cell_length_b 4.4278
_cell_length_c 10.7499
_cell_angle_alpha 90.00
_cell_angle_beta 90.00
_cell_angle_gamma 90.00
_symmetry_space_group_name_H-M 'I 4/m m m'
_symmetry_Int_Tables_number 139
_symmetry_space_group_name_Hall '-I 4 2'
loop_
_atom_site_label
_atom_site_type_symbol
_atom_site_fract_x
_atom_site_fract_y
_atom_site_fract_z
Ba1 Ba 0.0000 0.0000 0.0000
Ga1 Ga 0.0000 0.0000 0.3597
Ir1 Ir 0.0000 0.5000 0.2500

(5)
# BaGa3Ir, optimized geometry, DFT PBE
# * density of states at the Fermi level: 8.21 states/eV per cell
# * calculated total energy: -39.77 eV per cell
data_BaGa3Ir
_chemical_formula_sum 'Ba2 Ga6 Ir2'
_cell_length_a 3.8450
_cell_length_b 5.1384
_cell_length_c 14.8368
_cell_angle_alpha 90.00
_cell_angle_beta 90.00
_cell_angle_gamma 90.00
_symmetry_space_group_name_H-M 'A m m 2'
_symmetry_Int_Tables_number 38
loop_
_symmetry_equiv_pos_as_xyz
'x,y,z'
'-x,-y,z'
'-x,y,z'
'x,-y,z'
'x,y+1/2,z+1/2'
'-x,-y+1/2,z+1/2'
'-x,y+1/2,z+1/2'
'x,-y+1/2,z+1/2'
loop_
_atom_site_label
_atom_site_type_symbol
_atom_site_fract_x
_atom_site_fract_y
_atom_site_fract_z
Ba1 Ba 0.0000 0.0000 0.0000
Ga1 Ga 0.0000 0.2419 0.2057
Ga2 Ga 0.5000 0.0000 0.8131
Ir1 Ir 0.5000 0.0000 0.6391

(6)
# BaGaIr, optimized geometry, DFT PBE
# * density of states at the Fermi level: 1.41 states/eV per cell
# * calculated total energy: -15.05 eV per cell
data_BaGaIr
_chemical_formula_sum 'Ba1 Ga1 Ir1'
_cell_length_a 4.3214
_cell_length_b 4.3214
_cell_length_c 4.9280
_cell_angle_alpha 90.00
_cell_angle_beta 90.00
_cell_angle_gamma 120.00
_symmetry_space_group_name_H-M 'P -6 m 2'
_symmetry_Int_Tables_number 187
_symmetry_space_group_name_Hall 'P -6 2'
loop_
_atom_site_label
_atom_site_type_symbol
_atom_site_fract_x
_atom_site_fract_y
_atom_site_fract_z
Ba1 Ba 0.0000 0.0000 0.0000
Ga1 Ga 0.6667 0.3333 0.5000
Ir1 Ir 0.3333 0.6667 0.5000

(7)
# BaGa2Ir2, optimized geometry, DFT PBE
# * density of states at the Fermi level: 4.52 states/eV per cell
# * calculated total energy: -227.31 eV per cell
data_BaGa2Ir2
_chemical_formula_sum 'Ba8 Ga16 Ir16'
_cell_length_a 6.0966
_cell_length_b 10.6723
_cell_length_c 13.6435
_cell_angle_alpha 90.00
_cell_angle_beta 90.00
_cell_angle_gamma 90.00
_symmetry_space_group_name_H-M 'F d d d'
_symmetry_Int_Tables_number 70
loop_
_symmetry_equiv_pos_as_xyz
'x,y,z'
'-x,-y,-z'
'-x+1/4,-y+1/4,z'
'x+1/4,y+1/4,-z'
'x,-y+1/4,-z+1/4'
'-x,y+1/4,z+1/4'
'-x+1/4,y,-z+1/4'
'x+1/4,-y,z+1/4'
'x,y+1/2,z+1/2'
'-x,-y+1/2,-z+1/2'
'-x+1/4,-y+3/4,z+1/2'
'x+1/4,y+3/4,-z+1/2'
'x,-y+3/4,-z+3/4'
'-x,y+3/4,z+3/4'
'-x+1/4,y+1/2,-z+3/4'
'x+1/4,-y+1/2,z+3/4'
'x+1/2,y,z+1/2'
'-x+1/2,-y,-z+1/2'
'-x+3/4,-y+1/4,z+1/2'
'x+3/4,y+1/4,-z+1/2'
'x+1/2,-y+1/4,-z+3/4'
'-x+1/2,y+1/4,z+3/4'
'-x+3/4,y,-z+3/4'
'x+3/4,-y,z+3/4'
'x+1/2,y+1/2,z'
'-x+1/2,-y+1/2,-z'
'-x+3/4,-y+3/4,z'
'x+3/4,y+3/4,-z'
'x+1/2,-y+3/4,-z+1/4'
'-x+1/2,y+3/4,z+1/4'
'-x+3/4,y+1/2,-z+1/4'
'x+3/4,-y+1/2,z+1/4'
loop_
_atom_site_label
_atom_site_type_symbol
_atom_site_fract_x
_atom_site_fract_y
_atom_site_fract_z
Ba1 Ba 0.1250 0.1250 0.1250
Ga1 Ga 0.1250 0.3033 0.6250
Ir1 Ir 0.1250 0.1250 0.5050

(8)
# BaGa3Ir, optimized geometry, DFT PBE
# * density of states at the Fermi level: 16.03 states/eV per cell
# * calculated total energy: -172.61 eV per cell
data_BaGa3Ir
_chemical_formula_sum 'Ba8 Ga24 Ir8'
_cell_length_a 12.4468
_cell_length_b 11.9018
_cell_length_c 6.8795
_cell_angle_alpha 90.00
_cell_angle_beta 113.69
_cell_angle_gamma 90.00
_symmetry_space_group_name_H-M 'C 1 2/c 1'
_symmetry_Int_Tables_number 15
loop_
_symmetry_equiv_pos_as_xyz
'x,y,z'
'-x,-y,-z'
'-x,y,-z+1/2'
'x,-y,z+1/2'
'x+1/2,y+1/2,z'
'-x+1/2,-y+1/2,-z'
'-x+1/2,y+1/2,-z+1/2'
'x+1/2,-y+1/2,z+1/2'
loop_
_atom_site_label
_atom_site_type_symbol
_atom_site_fract_x
_atom_site_fract_y
_atom_site_fract_z
Ba1 Ba 0.1459 0.1235 0.0038
Ga1 Ga 0.1187 0.3783 0.5478
Ga2 Ga 0.1202 0.3930 0.1414
Ga3 Ga 0.1840 0.1540 0.5228
Ir1 Ir 0.0000 0.2364 0.2500
Ir2 Ir 0.0000 0.4490 0.7500

(9)
# Ba3Ga3Ir, optimized geometry, DFT PBE
# * density of states at the Fermi level: 23.92 states/eV per cell
# * calculated total energy: -105.54 eV per cell
data_Ba3Ga3Ir
_chemical_formula_sum 'Ba12 Ga12 Ir4'
_cell_length_a 13.0602
_cell_length_b 4.4431
_cell_length_c 16.1190
_cell_angle_alpha 90.00
_cell_angle_beta 110.65
_cell_angle_gamma 90.00
_symmetry_space_group_name_H-M 'C 1 2/m 1'
_symmetry_Int_Tables_number 12
loop_
_symmetry_equiv_pos_as_xyz
'x,y,z'
'-x,-y,-z'
'-x,y,-z'
'x,-y,z'
'x+1/2,y+1/2,z'
'-x+1/2,-y+1/2,-z'
'-x+1/2,y+1/2,-z'
'x+1/2,-y+1/2,z'
loop_
_atom_site_label
_atom_site_type_symbol
_atom_site_fract_x
_atom_site_fract_y
_atom_site_fract_z
Ba1 Ba 0.0182 0.0000 0.3907
Ba2 Ba 0.1078 0.0000 0.9185
Ba3 Ba 0.2474 0.0000 0.2406
Ga1 Ga 0.0548 0.5000 0.2440
Ga2 Ga 0.0943 0.5000 0.0786
Ga3 Ga 0.1966 0.5000 0.5389
Ir1 Ir 0.2237 0.5000 0.3877

(10)
# BaGa3Ir, optimized geometry, DFT PBE
# * density of states at the Fermi level: 1.08 states/eV per cell
# * calculated total energy: -22.23 eV per cell
data_BaGa3Ir
_chemical_formula_sum 'Ba1 Ga3 Ir1'
_cell_length_a 4.8928
_cell_length_b 4.8928
_cell_length_c 4.8928
_cell_angle_alpha 90.00
_cell_angle_beta 90.00
_cell_angle_gamma 90.00
_symmetry_space_group_name_H-M 'P m -3 m'
_symmetry_Int_Tables_number 221
_symmetry_space_group_name_Hall '-P 4 2 3'
loop_
_atom_site_label
_atom_site_type_symbol
_atom_site_fract_x
_atom_site_fract_y
_atom_site_fract_z
Ba1 Ba 0.0000 0.0000 0.0000
Ga1 Ga 0.0000 0.5000 0.5000
Ir1 Ir 0.5000 0.5000 0.5000

(11)
# BaGa3Ir, optimized geometry, DFT PBE
# * density of states at the Fermi level: 13.79 states/eV per cell
# * calculated total energy: -83.08 eV per cell
data_BaGa3Ir
_chemical_formula_sum 'Ba4 Ga12 Ir4'
_cell_length_a 6.1892
_cell_length_b 6.1892
_cell_length_c 14.8412
_cell_angle_alpha 90.00
_cell_angle_beta 90.00
_cell_angle_gamma 90.00
_symmetry_space_group_name_H-M 'I -4 m 2'
_symmetry_Int_Tables_number 119
_symmetry_space_group_name_Hall 'I -4 -2'
loop_
_atom_site_label
_atom_site_type_symbol
_atom_site_fract_x
_atom_site_fract_y
_atom_site_fract_z
Ba1 Ba 0.0000 0.0000 0.1569
Ga1 Ga 0.0000 0.2498 0.3749
Ga2 Ga 0.0000 0.5000 0.5480
Ir1 Ir 0.0000 0.0000 0.5000
Ir2 Ir 0.0000 0.5000 0.2500

(12)
# BaGa3Ir, optimized geometry, DFT PBE
# * density of states at the Fermi level: 6.11 states/eV per cell
# * calculated total energy: -42.22 eV per cell
data_BaGa3Ir
_chemical_formula_sum 'Ba2 Ga6 Ir2'
_cell_length_a 4.5944
_cell_length_b 6.2446
_cell_length_c 8.5446
_cell_angle_alpha 90.00
_cell_angle_beta 105.50
_cell_angle_gamma 90.00
_symmetry_space_group_name_H-M 'P 1 21/m 1'
_symmetry_Int_Tables_number 11
loop_
_symmetry_equiv_pos_as_xyz
'x,y,z'
'-x,-y,-z'
'-x,y+1/2,-z'
'x,-y+1/2,z'
loop_
_atom_site_label
_atom_site_type_symbol
_atom_site_fract_x
_atom_site_fract_y
_atom_site_fract_z
Ba1 Ba 0.0675 0.2500 0.1286
Ga1 Ga 0.1510 0.7500 0.3016
Ga2 Ga 0.2961 0.5277 0.5938
Ir1 Ir 0.4044 0.2500 0.8095

Which formula does entry 1 have? Ba2Ga2Ir